# 1
# SbTe2W, relaxed, DFT PBE-GGA
# final energy = -5.592 eV per atom
# density of states at the Fermi level = 2.98 states/eV/f.u.
# crystal system = monoclinic
data_SbTe2W
_symmetry_space_group_name_H-M 'C 1 2/m 1'
_symmetry_Int_Tables_number 12
_symmetry_space_group_name_Hall '-C 2y'
_cell_length_a 6.012
_cell_length_b 3.460
_cell_length_c 9.894
_cell_angle_alpha 90.00
_cell_angle_beta 100.38
_cell_angle_gamma 90.00
loop_
_atom_site_label
_atom_site_fract_x
_atom_site_fract_y
_atom_site_fract_z
Sb1 0.000 0.000 0.000
Te1 0.225 0.000 0.695
W1 0.000 0.500 0.500

# 2
# LaNd3Ho2Te6, relaxed, DFT PBE-GGA
# final energy = -5.329 eV per atom
# density of states at the Fermi level = 6.94 states/eV/f.u.
# crystal system = monoclinic
data_LaNd3Ho2Te6
_symmetry_space_group_name_H-M 'C 1 2/m 1'
_symmetry_Int_Tables_number 12
_symmetry_space_group_name_Hall '-C 2y'
_cell_length_a 19.473
_cell_length_b 4.426
_cell_length_c 8.995
_cell_angle_alpha 90.00
_cell_angle_beta 103.71
_cell_angle_gamma 90.00
loop_
_atom_site_label
_atom_site_fract_x
_atom_site_fract_y
_atom_site_fract_z
La1 0.000 0.000 0.000
Nd1 0.000 0.000 0.500
Nd2 0.161 0.500 0.831
Ho1 0.166 0.500 0.331
Te1 0.006 0.500 0.256
Te2 0.170 0.000 0.575
Te3 0.171 0.000 0.094

# 3
# Na2BiPb, relaxed, DFT PBE-GGA
# final energy = -2.798 eV per atom
# ΔE_f = -0.241 eV per atom
# density of states at the Fermi level = 1.08 states/eV/f.u.
# crystal system = monoclinic
data_Na2BiPb
_symmetry_space_group_name_H-M 'C 1 m 1'
_symmetry_Int_Tables_number 8
_symmetry_space_group_name_Hall 'C -2y'
_cell_length_a 10.860
_cell_length_b 4.989
_cell_length_c 4.904
_cell_angle_alpha 90.00
_cell_angle_beta 116.41
_cell_angle_gamma 90.00
loop_
_atom_site_label
_atom_site_fract_x
_atom_site_fract_y
_atom_site_fract_z
Na1 0.000 0.000 0.000
Na2 0.248 0.500 0.248
Bi1 0.499 0.000 0.498
Pb1 0.255 0.000 0.755

# 4
# TbHoEr5Th2, relaxed, DFT PBE-GGA
# final energy = -4.859 eV per atom
# ΔE_f = 0.347 eV per atom
# density of states at the Fermi level = 12.11 states/eV/f.u.
# crystal system = tetragonal
data_TbHoEr5Th2
_symmetry_space_group_name_H-M 'I 4/m c m'
_symmetry_Int_Tables_number 140
_symmetry_space_group_name_Hall '-I 4 2c'
_cell_length_a 8.694
_cell_length_b 8.694
_cell_length_c 15.398
_cell_angle_alpha 90.00
_cell_angle_beta 90.00
_cell_angle_gamma 90.00
loop_
_atom_site_label
_atom_site_fract_x
_atom_site_fract_y
_atom_site_fract_z
Tb1 0.000 0.500 0.250
Ho1 0.000 0.000 0.250
Er1 0.000 0.000 0.000
Er2 0.211 0.289 0.141
Th1 0.119 0.381 0.500

# 5
# TaCdTc2, relaxed, DFT PBE-GGA
# final energy = -8.189 eV per atom
# ΔE_f = 0.186 eV per atom
# density of states at the Fermi level = 4.56 states/eV/f.u.
# crystal system = orthorhombic
data_TaCdTc2
_symmetry_space_group_name_H-M 'I m m 2'
_symmetry_Int_Tables_number 44
_symmetry_space_group_name_Hall 'I 2 -2'
_cell_length_a 3.211
_cell_length_b 4.510
_cell_length_c 9.225
_cell_angle_alpha 90.00
_cell_angle_beta 90.00
_cell_angle_gamma 90.00
loop_
_atom_site_label
_atom_site_fract_x
_atom_site_fract_y
_atom_site_fract_z
Ta1 0.000 0.000 0.000
Cd1 0.000 0.500 0.228
Tc1 0.000 0.000 0.464
Tc2 0.000 0.500 0.732

# 6
# In2POs, relaxed, DFT PBE-GGA
# final energy = -4.890 eV per atom
# ΔE_f = 0.639 eV per atom
# density of states at the Fermi level = 1.92 states/eV/f.u.
# crystal system = monoclinic
data_In2POs
_symmetry_space_group_name_H-M 'C 1 2/m 1'
_symmetry_Int_Tables_number 12
_symmetry_space_group_name_Hall '-C 2y'
_cell_length_a 9.254
_cell_length_b 3.342
_cell_length_c 4.836
_cell_angle_alpha 90.00
_cell_angle_beta 100.82
_cell_angle_gamma 90.00
loop_
_atom_site_label
_atom_site_fract_x
_atom_site_fract_y
_atom_site_fract_z
In1 0.240 0.000 0.240
P1 0.000 0.000 0.500
Os1 0.000 0.500 0.000